## RbH4 (GGA-PBE)

Data for a relaxed RbH4 crystal.

## Properties
DOS(E_F): 1.4 states/eV/f.u.
Final energy: -1.524 eV/atom
V: 148.3 Å³/f.u.
Symmetry: Pm-3m (221)

a = 5.2935 Å, b = 5.2935 Å, c = 5.2935 Å
α = 90.00°, β = 90.00°, γ = 90.00°
Closest atoms and distances in Å follow each position.
Fractional coordinates of all 5 atoms:
Rb 0.0000 0.0000 0.0000  6 H 2.65
H 0.0000 0.0000 0.5000  2 Rb 2.65
H 0.0000 0.5000 0.0000  2 Rb 2.65
H 0.5000 0.0000 0.0000  2 Rb 2.65
H 0.5000 0.5000 0.5000  12 H 3.74